1.
A geometry-optimized CrOs2Pt structure, computed with PBE.

```
data_CrOs2Pt
_cell_length_a 2.699
_cell_length_b 3.810
_cell_length_c 5.473
_cell_angle_alpha 90.00
_cell_angle_beta 90.00
_cell_angle_gamma 90.00
_symmetry_space_group_name_H-M 'P m m m'
_symmetry_Int_Tables_number 47
loop_
_symmetry_equiv_pos_as_xyz
'x,y,z'
'-x,-y,-z'
'-x,-y,z'
'x,y,-z'
'x,-y,-z'
'-x,y,z'
'-x,y,-z'
'x,-y,z'
loop_
_atom_site_label
_atom_site_type_symbol
_atom_site_fract_x
_atom_site_fract_y
_atom_site_fract_z
Cr1 Cr 0.000 0.000 0.000
Os1 Os 0.500 0.500 0.229
Pt1 Pt 0.000 0.000 0.500
```

Properties
calculated formation energy = 0.0868 eV/atom
total magnetization = 0.00 μB per formula unit



2.
A geometry-optimized Sm3DyHo2As6 structure, computed with PBE.

```
data_Sm3DyHo2As6
_cell_length_a 7.208
_cell_length_b 12.482
_cell_length_c 7.204
_cell_angle_alpha 90.00
_cell_angle_beta 109.45
_cell_angle_gamma 90.00
_symmetry_space_group_name_H-M 'C 1 2/m 1'
_symmetry_Int_Tables_number 12
loop_
_symmetry_equiv_pos_as_xyz
'x,y,z'
'-x,-y,-z'
'-x,y,-z'
'x,-y,z'
'x+1/2,y+1/2,z'
'-x+1/2,-y+1/2,-z'
'-x+1/2,y+1/2,-z'
'x+1/2,-y+1/2,z'
loop_
_atom_site_label
_atom_site_type_symbol
_atom_site_fract_x
_atom_site_fract_y
_atom_site_fract_z
Sm1 Sm 0.000 0.000 0.000
Sm2 Sm 0.000 0.334 0.000
Dy1 Dy 0.000 0.500 0.500
Ho1 Ho 0.000 0.167 0.500
As1 As 0.247 0.000 0.743
As2 As 0.248 0.333 0.743
```

Properties
calculated formation energy = -1.5269 eV/atom
total magnetization = 0.00 μB per formula unit



3.
A geometry-optimized ReSbPd2N structure, computed with PBE.

```
data_ReSbPd2N
_cell_length_a 4.482
_cell_length_b 4.482
_cell_length_c 3.910
_cell_angle_alpha 90.00
_cell_angle_beta 90.00
_cell_angle_gamma 90.00
_symmetry_space_group_name_H-M 'P 4/m m m'
_symmetry_Int_Tables_number 123
_symmetry_space_group_name_Hall '-P 4 2'
loop_
_atom_site_label
_atom_site_type_symbol
_atom_site_fract_x
_atom_site_fract_y
_atom_site_fract_z
Re1 Re 0.000 0.000 0.000
Sb1 Sb 0.500 0.500 0.000
Pd1 Pd 0.000 0.500 0.500
N1 N 0.000 0.000 0.500
```

Properties
uncorrected formation energy = 159 kJ/mol of formula units
total magnetization = 0.00 μB per formula unit



4.
A geometry-optimized Sr2YCd structure, computed with PBE.

```
data_Sr2YCd
_cell_length_a 4.263
_cell_length_b 4.310
_cell_length_c 8.045
_cell_angle_alpha 90.00
_cell_angle_beta 90.00
_cell_angle_gamma 90.00
_symmetry_space_group_name_H-M 'P m m m'
_symmetry_Int_Tables_number 47
loop_
_symmetry_equiv_pos_as_xyz
'x,y,z'
'-x,-y,-z'
'-x,-y,z'
'x,y,-z'
'x,-y,-z'
'-x,y,z'
'-x,y,-z'
'x,-y,z'
loop_
_atom_site_label
_atom_site_type_symbol
_atom_site_fract_x
_atom_site_fract_y
_atom_site_fract_z
Sr1 Sr 0.000 0.000 0.232
Y1 Y 0.500 0.500 0.500
Cd1 Cd 0.500 0.500 0.000
```

Properties
calculated formation energy = 0.0096 eV/atom
total magnetization = 0.00 μB per formula unit



5.
A geometry-optimized Na3Ac3InO8 structure, computed with PBE.

```
data_Na3Ac3InO8
_cell_length_a 7.4140
_cell_length_b 7.4140
_cell_length_c 16.7888
_cell_angle_alpha 90.00
_cell_angle_beta 90.00
_cell_angle_gamma 120.00
_symmetry_space_group_name_H-M 'R -3 m'
_symmetry_Int_Tables_number 166
_symmetry_space_group_name_Hall '-R 3 2"'
loop_
_atom_site_label
_atom_site_type_symbol
_atom_site_fract_x
_atom_site_fract_y
_atom_site_fract_z
Na1 Na 0.0000 0.5000 0.0000
Ac1 Ac 0.0000 0.5000 0.5000
In1 In 0.0000 0.0000 0.5000
O1 O 0.0000 0.0000 0.2402
O2 O 0.0318 0.5159 0.2368
```

Properties
uncorrected formation energy = -3197 kJ/mol of formula units
total magnetization = 1.06 μB per formula unit



6.
A geometry-optimized In2NiW structure, computed with PBE.

```
data_In2NiW
_cell_length_a 4.126
_cell_length_b 4.126
_cell_length_c 8.201
_cell_angle_alpha 90.00
_cell_angle_beta 90.00
_cell_angle_gamma 90.00
_symmetry_space_group_name_H-M 'I 4/m m m'
_symmetry_Int_Tables_number 139
_symmetry_space_group_name_Hall '-I 4 2'
loop_
_atom_site_label
_atom_site_type_symbol
_atom_site_fract_x
_atom_site_fract_y
_atom_site_fract_z
In1 In 0.000 0.500 0.250
Ni1 Ni 0.000 0.000 0.000
W1 W 0.000 0.000 0.500
```

Properties
calculated formation energy = 0.5798 eV/atom
total magnetization = 0.00 μB per formula unit
relative energy among the computed polymorphs = 0.294 eV/atom



7.
A geometry-optimized SnRhBr2 structure, computed with PBE.

```
data_SnRhBr2
_cell_length_a 3.4339
_cell_length_b 3.4339
_cell_length_c 29.1231
_cell_angle_alpha 90.00
_cell_angle_beta 90.00
_cell_angle_gamma 120.00
_symmetry_space_group_name_H-M 'R -3 m'
_symmetry_Int_Tables_number 166
_symmetry_space_group_name_Hall '-R 3 2"'
loop_
_atom_site_label
_atom_site_type_symbol
_atom_site_fract_x
_atom_site_fract_y
_atom_site_fract_z
Sn1 Sn 0.0000 0.0000 0.0000
Rh1 Rh 0.0000 0.0000 0.5000
Br1 Br 0.0000 0.0000 0.4175
```

Properties
uncorrected formation energy = 84 kJ/mol of formula units
total magnetization = 0.87 μB per formula unit
relative energy among the computed polymorphs = 0.351 eV/atom



8.
A geometry-optimized Er2ScNi structure, computed with PBE.

```
data_Er2ScNi
_cell_length_a 6.632
_cell_length_b 9.139
_cell_length_c 6.215
_cell_angle_alpha 90.00
_cell_angle_beta 90.00
_cell_angle_gamma 90.00
_symmetry_space_group_name_H-M 'P n m a'
_symmetry_Int_Tables_number 62
loop_
_symmetry_equiv_pos_as_xyz
'x,y,z'
'-x,-y,-z'
'-x+1/2,-y,z+1/2'
'x+1/2,y,-z+1/2'
'x+1/2,-y+1/2,-z+1/2'
'-x+1/2,y+1/2,z+1/2'
'-x,y+1/2,-z'
'x,-y+1/2,z'
loop_
_atom_site_label
_atom_site_type_symbol
_atom_site_fract_x
_atom_site_fract_y
_atom_site_fract_z
Er1 Er 0.186 0.063 0.183
Sc1 Sc 0.036 0.250 0.632
Ni1 Ni 0.102 0.750 0.973
```

Properties
calculated formation energy = -0.2598 eV/atom
total magnetization = 0.00 μB per formula unit
relative energy among the computed polymorphs = 0.000 eV/atom



9.
A geometry-optimized Li2CuPO4 structure, computed with PBE.

```
data_Li2CuPO4
_cell_length_a 5.070
_cell_length_b 5.453
_cell_length_c 6.213
_cell_angle_alpha 90.18
_cell_angle_beta 90.39
_cell_angle_gamma 90.13
_symmetry_space_group_name_H-M 'P 1'
_symmetry_Int_Tables_number 1
loop_
_symmetry_equiv_pos_as_xyz
'x,y,z'
loop_
_atom_site_label
_atom_site_type_symbol
_atom_site_fract_x
_atom_site_fract_y
_atom_site_fract_z
Li1 Li 0.000 0.000 0.000
Li2 Li 0.001 0.527 0.247
Li3 Li 0.495 0.173 0.254
Li4 Li 0.507 0.163 0.758
Cu1 Cu 0.062 0.512 0.684
Cu2 Cu 0.559 0.606 0.524
P1 P 0.493 0.678 0.014
P2 P 0.993 0.042 0.493
O1 O 0.089 0.772 0.476
O2 O 0.098 0.177 0.290
O3 O 0.110 0.153 0.710
O4 O 0.188 0.680 0.008
O5 O 0.598 0.538 0.218
O6 O 0.599 0.521 0.822
O7 O 0.602 0.945 0.008
O8 O 0.688 0.053 0.502
```

Properties
uncorrected formation energy = -1506 kJ/mol of formula units
total magnetization = 0.00 μB per formula unit
relative energy among the computed polymorphs = 0.005 eV/atom



10.
A geometry-optimized ScGa2Tc structure, computed with PBE.

```
data_ScGa2Tc
_cell_length_a 3.333
_cell_length_b 3.333
_cell_length_c 5.909
_cell_angle_alpha 90.00
_cell_angle_beta 90.00
_cell_angle_gamma 90.00
_symmetry_space_group_name_H-M 'P 4/m m m'
_symmetry_Int_Tables_number 123
_symmetry_space_group_name_Hall '-P 4 2'
loop_
_atom_site_label
_atom_site_type_symbol
_atom_site_fract_x
_atom_site_fract_y
_atom_site_fract_z
Sc1 Sc 0.000 0.000 0.000
Ga1 Ga 0.500 0.500 0.281
Tc1 Tc 0.000 0.000 0.500
```

Properties
calculated formation energy = -0.3365 eV/atom
total magnetization = 0.18 μB per formula unit
relative energy among the computed polymorphs = 0.064 eV/atom



11.
A geometry-optimized LaHfScSe2 structure, computed with PBE.

```
data_LaHfScSe2
_cell_length_a 5.117
_cell_length_b 5.117
_cell_length_c 5.140
_cell_angle_alpha 90.00
_cell_angle_beta 90.00
_cell_angle_gamma 90.00
_symmetry_space_group_name_H-M 'P 4/m m m'
_symmetry_Int_Tables_number 123
_symmetry_space_group_name_Hall '-P 4 2'
loop_
_atom_site_label
_atom_site_type_symbol
_atom_site_fract_x
_atom_site_fract_y
_atom_site_fract_z
La1 La 0.000 0.000 0.000
Hf1 Hf 0.500 0.500 0.000
Sc1 Sc 0.500 0.500 0.500
Se1 Se 0.000 0.500 0.500
```

Properties
uncorrected formation energy = -145 kJ/mol of formula units
total magnetization = 0.00 μB per formula unit



12.
A geometry-optimized SrAsOs2 structure, computed with PBE.

```
data_SrAsOs2
_cell_length_a 2.961
_cell_length_b 4.165
_cell_length_c 6.505
_cell_angle_alpha 90.00
_cell_angle_beta 99.75
_cell_angle_gamma 90.00
_symmetry_space_group_name_H-M 'P 1 m 1'
_symmetry_Int_Tables_number 6
loop_
_symmetry_equiv_pos_as_xyz
'x,y,z'
'x,-y,z'
loop_
_atom_site_label
_atom_site_type_symbol
_atom_site_fract_x
_atom_site_fract_y
_atom_site_fract_z
Sr1 Sr 0.000 0.000 0.000
As1 As 0.627 0.500 0.296
Os1 Os 0.208 0.500 0.639
Os2 Os 0.618 0.000 0.523
```

Properties
calculated formation energy = 0.2592 eV/atom
total magnetization = 0.00 μB per formula unit



no.,calculated volume (A^3/atom)
1,14.1
2,25.5
3,15.7
4,37.0
5,17.8
6,17.5
7,24.8
8,23.5
9,10.7
10,16.4
11,26.9
12,19.8